1.
VASP calculation (PBE) on an optimized crystal structure of Co3Ir7.

Computed properties:
DFT formation energy   0.343 eV/f.u.
Calculated total energy   -8.30 eV per atom
Calculated volume   135.5 Å³/cell
Density of states at the Fermi level   12.5 states/eV/cell

extended XYZ file:
```
10
Lattice="-0.790 3.695 -0.096 -1.143 -0.109 5.229 7.085 -0.415 0.103" Properties=species:S:1:pos:R:3 pbc="T T T"
Ir 0.626 2.107 1.550
Ir 0.025 2.047 4.167
Ir 2.570 2.603 4.638
Ir 4.526 1.063 3.686
Ir -0.572 -0.054 2.615
Ir 5.127 1.124 1.069
Ir 2.581 0.567 0.598
Co 3.200 2.671 2.079
Co 0.000 0.000 0.000
Co 1.952 0.499 3.157
```

---

2.
VASP calculation (PBE) on an optimized crystal structure of RbBr3.

Computed properties:
Calculated total energy   -2.10 eV per atom
Calculated volume   352.5 Å³/cell
Density of states at the Fermi level   3.3 states/eV/cell

extended XYZ file:
```
8
Lattice="6.088 0.000 0.000 0.000 6.088 0.000 3.044 3.044 9.510" Properties=species:S:1:pos:R:3 pbc="T T T"
Rb 6.088 3.044 4.755
Rb 0.000 0.000 0.000
Br 4.566 5.105 7.133
Br 4.027 1.522 2.378
Br 7.610 7.072 7.133
Br 2.061 4.566 2.378
Br 3.044 6.088 4.755
Br 3.044 3.044 0.000
```